--- w ---
# Ac2DyPb2

Crystalline Ac2DyPb2 at its relaxed geometry (GGA-PBE, Alexandria via LeMat-Bulk).

Properties
magnetic moment	0.003	Bohr magnetons per cell
symmetry	Cmc2_1 (36)

Cell lengths 10.1143, 10.1143, 7.0185 Å; angles 90.00, 90.00, 149.41 degrees
Element x y z (fractional)
Ac1 0.9996 0.0004 0.0000
Ac2 0.0004 0.9996 0.5000
Ac3 0.1968 0.8032 0.7511
Ac4 0.8032 0.1968 0.2511
Dy1 0.3989 0.6011 0.7491
Dy2 0.6011 0.3989 0.2491
Pb1 0.1804 0.8196 0.2511
Pb2 0.4240 0.5760 0.2504
Pb3 0.5760 0.4240 0.7504
Pb4 0.8196 0.1804 0.7511



--- x ---
# Ac2DyPb2

Crystalline Ac2DyPb2 at its relaxed geometry (GGA-PBE, Alexandria via LeMat-Bulk).

Properties
magnetic moment	0.000	Bohr magnetons per cell
symmetry	P4/mbm (127)

Cell lengths 8.4797, 8.4797, 4.9843 Å; angles 90.00, 90.00, 90.00 degrees
Element x y z (fractional)
Ac1 0.1713 0.3287 0.0000
Ac2 0.3287 0.8287 0.0000
Ac3 0.6713 0.1713 0.0000
Ac4 0.8287 0.6713 0.0000
Dy1 0.0000 0.0000 0.5000
Dy2 0.5000 0.5000 0.5000
Pb1 0.1346 0.6346 0.5000
Pb2 0.3654 0.1346 0.5000
Pb3 0.6346 0.8654 0.5000
Pb4 0.8654 0.3654 0.5000



Best to worst by energy: x, w.



--- w ---
# AcDyPd

Crystalline AcDyPd at its relaxed geometry (GGA-PBE, Alexandria via LeMat-Bulk).

Properties
magnetic moment	0.000	Bohr magnetons per cell
symmetry	I4mm (107)

Cell lengths 6.9571, 6.9571, 6.9571 Å; angles 149.09, 149.09, 44.29 degrees
Element x y z (fractional)
Ac1 0.0000 0.0000 0.0000
Dy1 0.2712 0.2712 0.0000
Pd1 0.6628 0.6628 0.0000



--- x ---
# AcDyPd

Crystalline AcDyPd at its relaxed geometry (GGA-PBE, Alexandria via LeMat-Bulk).

Properties
magnetic moment	0.000	Bohr magnetons per cell
symmetry	F-43m (216)

Cell lengths 5.1338, 5.1338, 5.1338 Å; angles 60.00, 60.00, 60.00 degrees
Element x y z (fractional)
Ac1 0.0000 0.0000 0.0000
Dy1 0.5000 0.5000 0.5000
Pd1 0.2500 0.2500 0.2500



--- y ---
# AcDyPd

Crystalline AcDyPd at its relaxed geometry (GGA-PBE, Alexandria via LeMat-Bulk).

Properties
magnetic moment	0.000	Bohr magnetons per cell
symmetry	P3m1 (156)

Cell lengths 4.8146, 4.8146, 4.5415 Å; angles 90.00, 90.00, 120.00 degrees
Element x y z (fractional)
Ac1 0.0000 0.0000 0.0000
Dy1 0.3333 0.6667 0.4939
Pd1 0.6667 0.3333 0.6018



--- z ---
# AcDyPd

Crystalline AcDyPd at its relaxed geometry (GGA-PBE, Alexandria via LeMat-Bulk).

Properties
magnetic moment	0.000	Bohr magnetons per cell
symmetry	P2_1/c (14)

Cell lengths 7.4594, 6.5797, 7.7289 Å; angles 90.00, 107.75, 90.00 degrees
Element x y z (fractional)
Ac1 0.1429 0.1357 0.3621
Ac2 0.1429 0.3643 0.8621
Ac3 0.8571 0.6357 0.1379
Ac4 0.8571 0.8643 0.6379
Dy1 0.4215 0.6547 0.2985
Dy2 0.4215 0.8453 0.7985
Dy3 0.5785 0.1547 0.2015
Dy4 0.5785 0.3453 0.7015
Pd1 0.1893 0.5940 0.5220
Pd2 0.1893 0.9060 0.0220
Pd3 0.8107 0.0940 0.9780
Pd4 0.8107 0.4060 0.4780



Best to worst by energy: z, w, y, x.



--- w ---
# AcPmDy2

Crystalline AcPmDy2 at its relaxed geometry (GGA-PBE, Alexandria via LeMat-Bulk).

Properties
magnetic moment	0.000	Bohr magnetons per cell
symmetry	R3m (160)

Cell lengths 11.9892, 11.9892, 11.9892 Å; angles 17.85, 17.85, 17.85 degrees
Element x y z (fractional)
Ac1 0.0000 0.0000 0.0000
Pm1 0.8338 0.8338 0.8338
Dy1 0.4187 0.4187 0.4187
Dy2 0.5813 0.5813 0.5813



--- x ---
# AcPmDy2

Crystalline AcPmDy2 at its relaxed geometry (GGA-PBE, Alexandria via LeMat-Bulk).

Properties
magnetic moment	0.000	Bohr magnetons per cell
symmetry	Fm-3m (225)

Cell lengths 5.8592, 5.8592, 5.8592 Å; angles 60.00, 60.00, 60.00 degrees
Element x y z (fractional)
Ac1 0.0000 0.0000 0.0000
Pm1 0.5000 0.5000 0.5000
Dy1 0.2500 0.2500 0.2500
Dy2 0.7500 0.7500 0.7500



--- y ---
# AcPmDy2

Crystalline AcPmDy2 at its relaxed geometry (GGA-PBE, Alexandria via LeMat-Bulk).

Properties
magnetic moment	0.001	Bohr magnetons per cell
symmetry	Pnma (62)

Cell lengths 11.4500, 3.6813, 13.4858 Å; angles 90.00, 90.00, 90.00 degrees
Element x y z (fractional)
Ac1 0.0209 0.2500 0.1245
Ac2 0.4791 0.7500 0.6245
Ac3 0.5209 0.2500 0.3755
Ac4 0.9791 0.7500 0.8755
Pm1 0.2489 0.7500 0.2733
Pm2 0.2511 0.2500 0.7733
Pm3 0.7489 0.7500 0.2267
Pm4 0.7511 0.2500 0.7267
Dy1 0.0155 0.7500 0.6130
Dy2 0.2433 0.2500 0.5041
Dy3 0.2567 0.7500 0.0041
Dy4 0.4845 0.2500 0.1130
Dy5 0.5155 0.7500 0.8870
Dy6 0.7433 0.2500 0.9959
Dy7 0.7567 0.7500 0.4959
Dy8 0.9845 0.2500 0.3870



Best to worst by energy: w, y, x.



--- w ---
# AcPmDy2

Crystalline AcPmDy2 at its relaxed geometry (GGA-PBE, Alexandria via LeMat-Bulk).

Properties
magnetic moment	0.000	Bohr magnetons per cell
symmetry	R-3m (166)

Cell lengths 11.9752, 11.9752, 11.9752 Å; angles 17.82, 17.82, 17.82 degrees
Element x y z (fractional)
Ac1 0.0000 0.0000 0.0000
Pm1 0.5000 0.5000 0.5000
Dy1 0.2478 0.2478 0.2478
Dy2 0.7522 0.7522 0.7522



--- x ---
# AcPmDy2

Crystalline AcPmDy2 at its relaxed geometry (GGA-PBE, Alexandria via LeMat-Bulk).

Properties
magnetic moment	0.000	Bohr magnetons per cell
symmetry	P4/mmm (123)

Cell lengths 3.7279, 3.7279, 10.1565 Å; angles 90.00, 90.00, 90.00 degrees
Element x y z (fractional)
Ac1 0.0000 0.0000 0.0000
Pm1 0.0000 0.0000 0.5000
Dy1 0.5000 0.5000 0.2614
Dy2 0.5000 0.5000 0.7386



Best to worst by energy: w, x.



--- w ---
# AcPm4Dy7

Crystalline AcPm4Dy7 at its relaxed geometry (GGA-PBE, Alexandria via LeMat-Bulk).

Properties
magnetic moment	0.000	Bohr magnetons per cell
symmetry	P-1 (2)

Cell lengths 6.3152, 7.2932, 9.0013 Å; angles 90.03, 103.66, 90.10 degrees
Element x y z (fractional)
Ac1 0.0000 0.0000 0.0000
Pm1 0.2209 0.4995 0.6675
Pm2 0.2812 0.7482 0.3365
Pm3 0.7188 0.2518 0.6635
Pm4 0.7791 0.5005 0.3325
Dy1 0.0000 0.5000 0.0000
Dy2 0.2228 0.9995 0.6633
Dy3 0.2798 0.2521 0.3345
Dy4 0.5001 0.2521 0.0005
Dy5 0.4999 0.7479 0.9995
Dy6 0.7202 0.7479 0.6655
Dy7 0.7772 0.0005 0.3367



--- x ---
# AcPm4Dy7

Crystalline AcPm4Dy7 at its relaxed geometry (GGA-PBE, Alexandria via LeMat-Bulk).

Properties
magnetic moment	0.000	Bohr magnetons per cell
symmetry	C2/m (12)

Cell lengths 6.8794, 6.8794, 12.7361 Å; angles 115.64, 115.64, 52.55 degrees
Element x y z (fractional)
Ac1 0.0000 0.0000 0.0000
Pm1 0.2482 0.2482 0.6791
Pm2 0.3698 0.3698 0.2240
Pm3 0.6302 0.6302 0.7760
Pm4 0.7518 0.7518 0.3209
Dy1 0.0563 0.0563 0.3371
Dy2 0.2164 0.2164 0.9209
Dy3 0.3666 0.3666 0.4964
Dy4 0.5000 0.5000 0.0000
Dy5 0.6334 0.6334 0.5036
Dy6 0.7836 0.7836 0.0791
Dy7 0.9437 0.9437 0.6629



Best to worst by energy: w, x.